Compound: Tb8Zn2Ag
Source: Alexandria via LeMat-Bulk
Functional: PBE-GGA
Structure: relaxed

```
Tb8Zn2Ag
1.0
5.103 0.000 0.000
0.000 6.946 0.194
-2.552 -2.742 8.496
Tb Zn Ag
8 2 1
Direct
0.408 0.539 0.816
0.667 0.969 0.334
0.802 0.684 0.604
0.971 0.230 0.943
0.198 0.316 0.396
0.333 0.031 0.666
0.592 0.461 0.184
0.029 0.770 0.057
0.813 0.279 0.626
0.187 0.721 0.374
0.500 0.000 0.000
```

Calculated density   8.25 g/cm³
Total energy   -3.9877 eV per atom
Total magnetic moment   0.00 μB/f.u.
Crystal system   monoclinic
Energy of formation   -12.5 kJ/mol of atoms

***

Compound: TbZn5Ag7
Source: Alexandria via LeMat-Bulk
Functional: PBE-GGA
Structure: relaxed

```
TbZn5Ag7
1.0
5.244 0.000 0.000
2.622 6.596 0.038
2.622 0.017 6.596
Tb Zn Ag
1 5 7
Direct
0.997 0.003 0.003
0.503 0.996 0.500
0.002 0.996 0.500
0.503 0.500 0.996
0.002 0.500 0.996
0.720 0.780 0.780
0.648 0.352 0.352
0.340 0.660 0.660
0.999 0.346 0.655
0.999 0.655 0.346
0.280 0.220 0.220
0.504 0.790 0.202
0.504 0.202 0.790
```

Calculated density   9.03 g/cm³
Total energy   -2.5251 eV per atom
Total magnetic moment   0.00 μB/f.u.
Crystal system   orthorhombic
Energy of formation   -13.9 kJ/mol of atoms

***

Compound: TbZn6Ag12
Source: Alexandria via LeMat-Bulk
Functional: PBE-GGA
Structure: relaxed

```
TbZn6Ag12
1.0
7.433 -0.035 -0.049
-1.876 7.192 -0.049
-1.876 -2.417 6.774
Tb Zn Ag
1 6 12
Direct
0.000 0.000 0.000
0.701 0.283 0.283
0.283 0.283 0.701
0.283 0.701 0.283
0.717 0.717 0.299
0.299 0.717 0.717
0.717 0.299 0.717
0.884 0.116 0.500
0.869 0.621 0.621
0.621 0.621 0.869
0.379 0.131 0.379
0.379 0.379 0.131
0.131 0.379 0.379
0.116 0.500 0.884
0.500 0.884 0.116
0.116 0.884 0.500
0.884 0.500 0.116
0.500 0.116 0.884
0.621 0.869 0.621
```

Calculated density   8.52 g/cm³
Total energy   -2.3916 eV per atom
Total magnetic moment   0.00 μB/f.u.
Crystal system   trigonal
Energy of formation   5.3 kJ/mol of atoms

***

Compound: Tb2ZnAg
Source: Alexandria via LeMat-Bulk
Functional: PBE-GGA
Structure: relaxed

```
Tb2ZnAg
1.0
3.613 0.000 0.000
0.000 3.613 0.000
0.000 0.000 7.237
Zn Tb Ag
1 2 1
Direct
0.000 0.000 0.500
0.500 0.500 0.258
0.500 0.500 0.742
0.000 0.000 0.000
```

Calculated density   8.63 g/cm³
Total energy   -3.6772 eV per atom
Total magnetic moment   0.00 μB/f.u.
Crystal system   tetragonal
Energy of formation   -31.9 kJ/mol of atoms

***

Compound: Tb2ZrAg6
Source: Alexandria via LeMat-Bulk
Functional: PBE-GGA
Structure: relaxed

```
Tb2ZrAg6
1.0
-0.665 -0.848 -2.939
-6.766 -4.067 2.701
-7.324 3.966 0.510
Tb Zr Ag
2 1 6
Direct
0.000 0.333 0.333
0.000 0.667 0.667
0.000 0.000 0.000
0.499 0.669 0.000
0.501 0.000 0.331
0.501 0.331 0.000
0.500 0.669 0.331
0.499 0.000 0.669
0.500 0.331 0.669
```

Calculated density   9.29 g/cm³
Total energy   -4.0345 eV per atom
Total magnetic moment   0.00 μB/f.u.
Crystal system   hexagonal
Energy of formation   -15.0 kJ/mol of atoms

***

Compound: TbZrAg2
Source: Alexandria via LeMat-Bulk
Functional: PBE-GGA
Structure: relaxed

```
TbZrAg2
1.0
-3.189 -1.572 0.078
1.533 -3.143 -0.646
0.705 -1.086 6.957
Tb Zr Ag
1 1 2
Direct
0.500 0.500 0.500
0.500 0.500 0.000
0.000 0.000 0.768
0.000 0.000 0.232
```

Calculated density   8.65 g/cm³
Total energy   -4.8298 eV per atom
Total magnetic moment   1.17 μB/f.u.
Crystal system   tetragonal
Energy of formation   -10.6 kJ/mol of atoms

***

Compound: Tc3Ag
Source: Alexandria via LeMat-Bulk
Functional: PBE-GGA
Structure: relaxed

```
Tc3Ag
1.0
-4.419 1.316 1.375
-0.701 -1.237 4.596
3.545 2.420 -2.173
Ag Tc
1 3
Direct
0.000 0.000 0.000
0.250 0.750 0.500
0.500 0.500 0.000
0.750 0.250 0.500
```

Calculated density   11.05 g/cm³
Distance to the lowest polymorph of the same formula   1.02 eV/f.u.
Total energy   -8.0119 eV per atom
Total magnetic moment   0.00 μB/f.u.
Crystal system   tetragonal
Energy of formation   45.9 kJ/mol of atoms

***

Compound: Tc3Ag
Source: Alexandria via LeMat-Bulk
Functional: PBE-GGA
Structure: relaxed

```
Tc3Ag
1.0
4.455 0.000 0.000
0.000 4.860 0.000
0.000 0.000 5.561
Tc Ag
6 2
Direct
0.500 0.683 0.000
0.000 0.836 0.249
0.500 0.164 0.251
0.000 0.317 0.500
0.000 0.836 0.751
0.500 0.164 0.749
0.000 0.340 0.000
0.500 0.660 0.500
```

Calculated density   11.08 g/cm³
Distance to the lowest polymorph of the same formula   0.59 eV/f.u.
Total energy   -8.1196 eV per atom
Total magnetic moment   0.00 μB/f.u.
Crystal system   orthorhombic
Energy of formation   35.5 kJ/mol of atoms

***

Compound: TcAg2
Source: Alexandria via LeMat-Bulk
Functional: PBE-GGA
Structure: relaxed

```
TcAg2
1.0
1.347 -7.741 0.000
1.347 7.741 0.000
0.000 0.000 4.845
Tc Ag
2 4
Direct
0.387 0.613 0.750
0.613 0.387 0.250
0.720 0.280 0.750
0.947 0.053 0.250
0.053 0.947 0.750
0.280 0.720 0.250
```

Calculated density   10.31 g/cm³
Distance to the lowest polymorph of the same formula   0.87 eV/f.u.
Total energy   -4.7018 eV per atom
Total magnetic moment   1.52 μB/f.u.
Crystal system   orthorhombic
Energy of formation   63.1 kJ/mol of atoms

***

Compound: Tc2Ag
Source: Alexandria via LeMat-Bulk
Functional: PBE-GGA
Structure: relaxed

```
Tc2Ag
1.0
2.289 -3.965 0.000
2.289 3.965 0.000
0.000 0.000 5.290
Tc Ag
4 2
Direct
0.333 0.667 0.030
0.333 0.667 0.470
0.667 0.333 0.530
0.667 0.333 0.970
0.000 0.000 0.250
0.000 0.000 0.750
```

Calculated density   10.51 g/cm³
Distance to the lowest polymorph of the same formula   0.77 eV/f.u.
Total energy   -7.3823 eV per atom
Total magnetic moment   0.00 μB/f.u.
Crystal system   hexagonal
Energy of formation   46.2 kJ/mol of atoms

***

Compound: Tc3Ag
Source: Alexandria via LeMat-Bulk
Functional: PBE-GGA
Structure: relaxed

```
Tc3Ag
1.0
-1.183 -2.393 0.266
2.117 0.032 -1.648
5.734 -2.022 7.325
Ag Tc
1 3
Direct
0.000 0.000 0.000
0.000 0.000 0.500
0.500 0.500 0.267
0.500 0.500 0.733
```

Calculated density   10.73 g/cm³
Distance to the lowest polymorph of the same formula   0.67 eV/f.u.
Total energy   -8.0994 eV per atom
Total magnetic moment   0.00 μB/f.u.
Crystal system   orthorhombic
Energy of formation   37.4 kJ/mol of atoms

***

Compound: TcAg2
Source: Alexandria via LeMat-Bulk
Functional: PBE-GGA
Structure: relaxed

```
TcAg2
1.0
2.239 -6.246 0.000
2.239 6.246 0.000
0.000 0.000 3.716
Tc Ag
2 4
Direct
0.942 0.058 0.750
0.058 0.942 0.250
0.586 0.414 0.750
0.414 0.586 0.250
0.246 0.754 0.750
0.754 0.246 0.250
```

Calculated density   10.02 g/cm³
Distance to the lowest polymorph of the same formula   0.21 eV/f.u.
Total energy   -4.9224 eV per atom
Total magnetic moment   0.00 μB/f.u.
Crystal system   orthorhombic
Energy of formation   41.9 kJ/mol of atoms